# 1
The following is a PBE with a Hubbard U calculation of crystalline BaMnCd2O4 at its relaxed geometry, from Alexandria via LeMat-Bulk.

a b c (Å): 3.536 6.231 11.784
angles (deg): 90.00 90.00 106.49
Last column: magnetic moment on the atom in μB.
Element x y z (fractional)
O 0.743 0.487 0.617  0.04
O 0.743 0.487 0.883  0.04
O 0.257 0.513 0.117  0.04
O 0.557 0.115 0.250  0.05
O 0.000 0.000 0.000  0.02
O 0.000 0.000 0.500  0.02
O 0.257 0.513 0.383  0.04
O 0.443 0.885 0.750  0.05
Mn 0.145 0.291 0.250  4.51
Mn 0.855 0.709 0.750  4.51
Cd 0.629 0.258 0.463  0.01
Cd 0.371 0.742 0.537  0.01
Cd 0.371 0.742 0.963  0.01
Cd 0.629 0.258 0.037  0.01
Ba 0.118 0.237 0.750  0.02
Ba 0.882 0.763 0.250  0.02

Calculated volume (A^3/atom): 15.562
DFT total energy (eV per atom): -5.360
DOS at the Fermi energy (states/eV per cell): 0.434
SG: No. 63

=====

# 2
The following is a PBE with a Hubbard U calculation of crystalline BaMnCdO3 at its relaxed geometry, from Alexandria via LeMat-Bulk.

a b c (Å): 3.534 6.271 9.221
angles (deg): 108.89 90.00 90.00
Last column: magnetic moment on the atom in μB.
Element x y z (fractional)
Cd 0.250 0.725 0.077  0.01
Cd 0.750 0.275 0.923  0.01
Ba 0.250 0.303 0.293  0.01
Ba 0.750 0.697 0.707  0.01
O 0.250 0.779 0.474  0.08
O 0.750 0.221 0.526  0.08
O 0.250 0.031 0.826  0.03
O 0.750 0.509 0.164  0.03
O 0.250 0.491 0.836  0.03
O 0.750 0.969 0.174  0.03
Mn 0.750 0.843 0.365  4.57
Mn 0.250 0.157 0.635  4.57

Calculated volume (A^3/atom): 16.111
DFT total energy (eV per atom): -5.875
SG: No. 11

=====

# 3
The following is a PBE with a Hubbard U calculation of crystalline Ba3Mn2CdO8 at its relaxed geometry, from Alexandria via LeMat-Bulk.

a b c (Å): 5.956 5.956 7.614
angles (deg): 90.00 90.00 120.00
Last column: magnetic moment on the atom in μB.
Element x y z (fractional)
O 0.342 0.171 0.692  -0.08
O 0.171 0.342 0.308  -0.08
O 0.829 0.658 0.692  -0.08
O 0.667 0.333 0.019  -0.09
O 0.658 0.829 0.308  -0.08
O 0.333 0.667 0.981  -0.09
O 0.829 0.171 0.692  -0.08
O 0.171 0.829 0.308  -0.08
Ba 0.333 0.667 0.652  0.01
Ba 0.667 0.333 0.348  0.01
Ba 0.000 0.000 0.000  0.00
Cd 0.000 0.000 0.500  0.03
Mn 0.667 0.333 0.790  3.17
Mn 0.333 0.667 0.210  3.17

Calculated volume (A^3/atom): 16.711
DFT total energy (eV per atom): -6.218
DOS at the Fermi energy (states/eV per cell): 3.095
SG: No. 164

=====

# 4
The following is a PBE with a Hubbard U calculation of crystalline BaMnCdO4 at its relaxed geometry, from Alexandria via LeMat-Bulk.

a b c (Å): 5.951 5.951 5.650
angles (deg): 121.78 121.78 90.00
Last column: magnetic moment on the atom in μB.
Element x y z (fractional)
Mn 0.250 0.750 0.500  3.22
O 0.183 0.076 0.691  -0.09
O 0.385 0.817 0.309  -0.09
O 0.924 0.492 0.309  -0.09
O 0.508 0.615 0.691  -0.09
Cd 0.500 0.500 0.000  0.01
Ba 0.000 0.000 0.000  0.01

Calculated volume (A^3/atom): 19.076
DFT total energy (eV per atom): -5.839
DOS at the Fermi energy (states/eV per cell): 4.354
SG: No. 82

=====

Please write out number 2 again, unchanged.
The following is a PBE with a Hubbard U calculation of crystalline BaMnCdO3 at its relaxed geometry, from Alexandria via LeMat-Bulk.

a b c (Å): 3.534 6.271 9.221
angles (deg): 108.89 90.00 90.00
Last column: magnetic moment on the atom in μB.
Element x y z (fractional)
Cd 0.250 0.725 0.077  0.01
Cd 0.750 0.275 0.923  0.01
Ba 0.250 0.303 0.293  0.01
Ba 0.750 0.697 0.707  0.01
O 0.250 0.779 0.474  0.08
O 0.750 0.221 0.526  0.08
O 0.250 0.031 0.826  0.03
O 0.750 0.509 0.164  0.03
O 0.250 0.491 0.836  0.03
O 0.750 0.969 0.174  0.03
Mn 0.750 0.843 0.365  4.57
Mn 0.250 0.157 0.635  4.57

Calculated volume (A^3/atom): 16.111
DFT total energy (eV per atom): -5.875
SG: No. 11